This record from Alexandria via LeMat-Bulk describes a relaxed structure of NaSi2Pd3. The functional is PBE-GGA.

Results
- total DFT energy (no corrections) (eV per atom) = -5.105
- volume (Å³ per cell) = 226.7
- mass density (Mg/m³) = 5.8

Structure (CIF):
```
data_NaSi2Pd3
_chemical_formula_sum 'Na2 Si4 Pd6'
_cell_length_a 5.397
_cell_length_b 6.691
_cell_length_c 6.691
_cell_angle_alpha 110.19
_cell_angle_beta 90.00
_cell_angle_gamma 90.00
_symmetry_space_group_name_H-M 'P 1'
_symmetry_Int_Tables_number 1
loop_
_symmetry_equiv_pos_as_xyz
'x,y,z'
loop_
_atom_site_label
_atom_site_type_symbol
_atom_site_fract_x
_atom_site_fract_y
_atom_site_fract_z
Na1 Na 0.750 0.672 0.672
Na2 Na 0.250 0.328 0.328
Si1 Si 0.000 0.183 0.817
Si2 Si 0.500 0.817 0.183
Si3 Si 0.500 0.183 0.817
Si4 Si 0.000 0.817 0.183
Pd1 Pd 0.250 0.930 0.930
Pd2 Pd 0.750 0.070 0.070
Pd3 Pd 0.250 0.507 0.963
Pd4 Pd 0.250 0.963 0.507
Pd5 Pd 0.750 0.037 0.493
Pd6 Pd 0.750 0.493 0.037
```